Record 1
The following is a GGA-PBE calculation of a geometry-optimized BaMgZnP2 structure, from Alexandria via LeMat-Bulk.

```
data_BaMgZnP2
_chemical_formula_sum 'Ba4 Mg4 Zn4 P8'
_space_group_name_H-M_alt 'C m m e'
_space_group_IT_number 67
_space_group_name_Hall '-C 2a 2'
_cell_length_a 6.1506
_cell_length_b 13.6926
_cell_length_c 5.8265
_cell_angle_alpha 90.00
_cell_angle_beta 90.00
_cell_angle_gamma 90.00
loop_
_atom_site_label
_atom_site_fract_x
_atom_site_fract_y
_atom_site_fract_z
_atom_site_occupancy
Ba1 0.0000 0.2500 0.2426 1
Mg1 0.2500 0.0000 0.5000 1
Zn1 0.0000 0.0000 0.0000 1
P1 0.0000 0.1188 0.7350 1
```

Results
ΔE_f: -697 meV per atom

***

Record 2
The following is a GGA-PBE calculation of a geometry-optimized Ba2MgPaPd6 structure, from Alexandria via LeMat-Bulk.

```
data_Ba2MgPaPd6
_chemical_formula_sum 'Ba2 Mg1 Pa1 Pd6'
_space_group_name_H-M_alt 'P -1'
_space_group_IT_number 2
_cell_length_a 6.8327
_cell_length_b 6.8342
_cell_length_c 6.8526
_cell_angle_alpha 63.00
_cell_angle_beta 63.09
_cell_angle_gamma 63.06
loop_
_space_group_symop_operation_xyz
'x,y,z'
'-x,-y,-z'
loop_
_atom_site_label
_atom_site_fract_x
_atom_site_fract_y
_atom_site_fract_z
_atom_site_occupancy
Ba1 0.2018 0.2021 0.2020 1
Mg1 0.0000 0.0000 0.0000 1
Pa1 0.5000 0.5000 0.5000 1
Pd1 0.1638 0.3253 0.6274 1
Pd2 0.3261 0.6282 0.1638 1
Pd3 0.3718 0.8359 0.6742 1
```

Results
DOS(E_F): 0.66 states/eV/atom
ΔE_f: -465 meV per atom

***

Record 3
The following is a GGA-PBE calculation of a geometry-optimized Ba2MgPaPt6 structure, from Alexandria via LeMat-Bulk.

```
data_Ba2MgPaPt6
_chemical_formula_sum 'Ba4 Mg2 Pa2 Pt12'
_space_group_name_H-M_alt 'I m m m'
_space_group_IT_number 71
_space_group_name_Hall '-I 2 2'
_cell_length_a 7.2076
_cell_length_b 7.2257
_cell_length_c 10.2028
_cell_angle_alpha 90.00
_cell_angle_beta 90.00
_cell_angle_gamma 90.00
loop_
_atom_site_label
_atom_site_fract_x
_atom_site_fract_y
_atom_site_fract_z
_atom_site_occupancy
Ba1 0.0000 0.0000 0.2500 1
Mg1 0.0000 0.5000 0.0000 1
Pa1 0.0000 0.5000 0.5000 1
Pt1 0.0000 0.5000 0.2463 1
Pt2 0.2463 0.2537 0.0000 1
```

Results
DOS(E_F): 0.60 states/eV/atom
ΔE_f: -373 meV per atom

***

Record 4
The following is a GGA-PBE calculation of a geometry-optimized Ba2MgPaS6 structure, from Alexandria via LeMat-Bulk.

```
data_Ba2MgPaS6
_chemical_formula_sum 'Ba4 Mg2 Pa2 S12'
_space_group_name_H-M_alt 'P 1 21/c 1'
_space_group_IT_number 14
_cell_length_a 7.1656
_cell_length_b 7.3097
_cell_length_c 12.3972
_cell_angle_alpha 90.00
_cell_angle_beta 124.77
_cell_angle_gamma 90.00
loop_
_space_group_symop_operation_xyz
'x,y,z'
'-x,-y,-z'
'-x,y+1/2,-z+1/2'
'x,-y+1/2,z+1/2'
loop_
_atom_site_label
_atom_site_fract_x
_atom_site_fract_y
_atom_site_fract_z
_atom_site_occupancy
Ba1 0.2347 0.0461 0.2479 1
Mg1 0.0000 0.0000 0.5000 1
Pa1 0.5000 0.0000 0.0000 1
S1 0.1814 0.2182 0.9682 1
S2 0.2509 0.7155 0.9691 1
S3 0.3072 0.0081 0.7465 1
```

Results
DOS(E_F): 0.95 states/eV/atom
Energy relative to the elements, uncorrected: -1.650 eV per atom

***

Record 5
The following is a GGA-PBE calculation of a geometry-optimized BaMgPaS4 structure, from Alexandria via LeMat-Bulk.

```
data_BaMgPaS4
_chemical_formula_sum 'Ba4 Mg4 Pa4 S16'
_space_group_name_H-M_alt 'I m m a'
_space_group_IT_number 74
_space_group_name_Hall '-I 2b 2'
_cell_length_a 8.8726
_cell_length_b 9.2290
_cell_length_c 9.3175
_cell_angle_alpha 90.00
_cell_angle_beta 90.00
_cell_angle_gamma 90.00
loop_
_atom_site_label
_atom_site_fract_x
_atom_site_fract_y
_atom_site_fract_z
_atom_site_occupancy
Ba1 0.0000 0.2500 0.1555 1
Mg1 0.0000 0.0000 0.5000 1
Pa1 0.2500 0.2500 0.7500 1
S1 0.0000 0.0684 0.7693 1
S2 0.1836 0.2500 0.4697 1
```

Results
DOS(E_F): 0.63 states/eV/atom
Energy relative to the elements, uncorrected: -1.606 eV per atom

***

Record 6
The following is a GGA-PBE calculation of a geometry-optimized Ba2Mg2PaSb4 structure, from Alexandria via LeMat-Bulk.

```
data_Ba2Mg2PaSb4
_chemical_formula_sum 'Ba4 Mg4 Pa2 Sb8'
_space_group_name_H-M_alt 'C 1 2/m 1'
_space_group_IT_number 12
_cell_length_a 16.6537
_cell_length_b 4.6364
_cell_length_c 8.2422
_cell_angle_alpha 90.00
_cell_angle_beta 109.28
_cell_angle_gamma 90.00
loop_
_space_group_symop_operation_xyz
'x,y,z'
'-x,-y,-z'
'-x,y,-z'
'x,-y,z'
'x+1/2,y+1/2,z'
'-x+1/2,-y+1/2,-z'
'-x+1/2,y+1/2,-z'
'x+1/2,-y+1/2,z'
loop_
_atom_site_label
_atom_site_fract_x
_atom_site_fract_y
_atom_site_fract_z
_atom_site_occupancy
Ba1 0.1306 0.0000 0.0729 1
Mg1 0.1746 0.5000 0.4900 1
Pa1 0.0000 0.0000 0.5000 1
Sb1 0.0074 0.5000 0.2475 1
Sb2 0.2022 0.0000 0.7029 1
```

Results
DOS(E_F): 0.51 states/eV/atom
Energy relative to the elements, uncorrected: -0.745 eV per atom

***

Record 7
The following is a GGA-PBE calculation of a geometry-optimized Ba2MgPaTe5 structure, from Alexandria via LeMat-Bulk.

```
data_Ba2MgPaTe5
_chemical_formula_sum 'Ba8 Mg4 Pa4 Te20'
_space_group_name_H-M_alt 'C m c 21'
_space_group_IT_number 36
_cell_length_a 4.6520
_cell_length_b 20.1679
_cell_length_c 14.3404
_cell_angle_alpha 90.00
_cell_angle_beta 90.00
_cell_angle_gamma 90.00
loop_
_space_group_symop_operation_xyz
'x,y,z'
'-x,-y,z+1/2'
'-x,y,z'
'x,-y,z+1/2'
'x+1/2,y+1/2,z'
'-x+1/2,-y+1/2,z+1/2'
'-x+1/2,y+1/2,z'
'x+1/2,-y+1/2,z+1/2'
loop_
_atom_site_label
_atom_site_fract_x
_atom_site_fract_y
_atom_site_fract_z
_atom_site_occupancy
Ba1 0.0000 0.1109 0.0000 1
Ba2 0.0000 0.1247 0.6288 1
Mg1 0.0000 0.4424 0.7581 1
Pa1 0.0000 0.2064 0.3317 1
Te1 0.0000 0.0553 0.3681 1
Te2 0.0000 0.2882 0.9752 1
Te3 0.0000 0.3059 0.6839 1
Te4 0.0000 0.3567 0.3177 1
Te5 0.0000 0.4984 0.0868 1
```

Results
DOS(E_F): 0.67 states/eV/atom
Energy relative to the elements, uncorrected: -1.258 eV per atom

***

Record 8
The following is a GGA-PBE calculation of a geometry-optimized BaMg2Pb2 structure, from Alexandria via LeMat-Bulk.

```
data_BaMg2Pb2
_chemical_formula_sum 'Ba2 Mg4 Pb4'
_space_group_name_H-M_alt 'P 4/m b m'
_space_group_IT_number 127
_space_group_name_Hall '-P 4 2ab'
_cell_length_a 9.0314
_cell_length_b 9.0314
_cell_length_c 3.6695
_cell_angle_alpha 90.00
_cell_angle_beta 90.00
_cell_angle_gamma 90.00
loop_
_atom_site_label
_atom_site_fract_x
_atom_site_fract_y
_atom_site_fract_z
_atom_site_occupancy
Ba1 0.0000 0.0000 0.0000 1
Mg1 0.1206 0.3794 0.0000 1
Pb1 0.1694 0.6694 0.5000 1
```

Results
DOS(E_F): 0.55 states/eV/atom
ΔE_f: -225 meV per atom

***

Record 9
The following is a GGA-PBE calculation of a geometry-optimized BaMgPb2 structure, from Alexandria via LeMat-Bulk.

```
data_BaMgPb2
_chemical_formula_sum 'Ba2 Mg2 Pb4'
_space_group_name_H-M_alt 'C m m m'
_space_group_IT_number 65
_space_group_name_Hall '-C 2 2'
_cell_length_a 7.2794
_cell_length_b 9.7701
_cell_length_c 3.7410
_cell_angle_alpha 90.00
_cell_angle_beta 90.00
_cell_angle_gamma 90.00
loop_
_atom_site_label
_atom_site_fract_x
_atom_site_fract_y
_atom_site_fract_z
_atom_site_occupancy
Ba1 0.0000 0.0000 0.0000 1
Mg1 0.0000 0.5000 0.0000 1
Pb1 0.2500 0.2500 0.5000 1
```

Results
DOS(E_F): 0.48 states/eV/atom
ΔE_f: -190 meV per atom

***

Record 10
The following is a GGA-PBE calculation of a geometry-optimized BaMg3Pb structure, from Alexandria via LeMat-Bulk.

```
data_BaMg3Pb
_chemical_formula_sum 'Ba1 Mg3 Pb1'
_space_group_name_H-M_alt 'P m -3 m'
_space_group_IT_number 221
_space_group_name_Hall '-P 4 2 3'
_cell_length_a 6.1426
_cell_length_b 6.1426
_cell_length_c 6.1426
_cell_angle_alpha 90.00
_cell_angle_beta 90.00
_cell_angle_gamma 90.00
loop_
_atom_site_label
_atom_site_fract_x
_atom_site_fract_y
_atom_site_fract_z
_atom_site_occupancy
Ba1 0.0000 0.0000 0.0000 1
Mg1 0.0000 0.0000 0.5000 1
Pb1 0.5000 0.5000 0.5000 1
```

Results
DOS(E_F): 1.26 states/eV/atom
ΔE_f: 1031 meV per atom

***

Record 11
The following is a GGA-PBE calculation of a geometry-optimized BaMgPb2 structure, from Alexandria via LeMat-Bulk.

```
data_BaMgPb2
_chemical_formula_sum 'Ba1 Mg1 Pb2'
_space_group_name_H-M_alt 'P 4 m m'
_space_group_IT_number 99
_cell_length_a 4.1584
_cell_length_b 4.1584
_cell_length_c 7.8838
_cell_angle_alpha 90.00
_cell_angle_beta 90.00
_cell_angle_gamma 90.00
loop_
_space_group_symop_operation_xyz
'x,y,z'
'-y,x,z'
'-x,-y,z'
'y,-x,z'
'-x,y,z'
'y,x,z'
'x,-y,z'
'-y,-x,z'
loop_
_atom_site_label
_atom_site_fract_x
_atom_site_fract_y
_atom_site_fract_z
_atom_site_occupancy
Ba1 0.0000 0.0000 0.0000 1
Mg1 0.5000 0.5000 0.3102 1
Pb1 0.0000 0.0000 0.4928 1
Pb2 0.5000 0.5000 0.7010 1
```

Results
DOS(E_F): 0.72 states/eV/atom
ΔE_f: -187 meV per atom

***

Record 12
The following is a GGA-PBE calculation of a geometry-optimized BaMg2Pb3 structure, from Alexandria via LeMat-Bulk.

```
data_BaMg2Pb3
_chemical_formula_sum 'Ba2 Mg4 Pb6'
_space_group_name_H-M_alt 'P 63/m m c'
_space_group_IT_number 194
_space_group_name_Hall '-P 6c 2c'
_cell_length_a 5.2168
_cell_length_b 5.2168
_cell_length_c 16.0135
_cell_angle_alpha 90.00
_cell_angle_beta 90.00
_cell_angle_gamma 120.00
loop_
_atom_site_label
_atom_site_fract_x
_atom_site_fract_y
_atom_site_fract_z
_atom_site_occupancy
Ba1 0.0000 0.0000 0.2500 1
Mg1 0.3333 0.6667 0.0772 1
Pb1 0.0000 0.0000 0.0000 1
Pb2 0.3333 0.6667 0.6239 1
```

Results
DOS(E_F): 0.35 states/eV/atom
ΔE_f: -281 meV per atom

***

Record 13
The following is a GGA-PBE calculation of a geometry-optimized BaMg2Pb3 structure, from Alexandria via LeMat-Bulk.

```
data_BaMg2Pb3
_chemical_formula_sum 'Ba4 Mg8 Pb12'
_space_group_name_H-M_alt 'C m c m'
_space_group_IT_number 63
_space_group_name_Hall '-C 2c 2'
_cell_length_a 12.0976
_cell_length_b 9.9932
_cell_length_c 6.5232
_cell_angle_alpha 90.00
_cell_angle_beta 90.00
_cell_angle_gamma 90.00
loop_
_atom_site_label
_atom_site_fract_x
_atom_site_fract_y
_atom_site_fract_z
_atom_site_occupancy
Ba1 0.0000 0.1739 0.2500 1
Mg1 0.2220 0.5000 0.0000 1
Pb1 0.0000 0.4602 0.7500 1
Pb2 0.1872 0.2269 0.7500 1
```

Results
DOS(E_F): 0.45 states/eV/atom
ΔE_f: -201 meV per atom

***

Record 14
The following is a GGA-PBE calculation of a geometry-optimized BaMg3Pb9 structure, from Alexandria via LeMat-Bulk.

```
data_BaMg3Pb9
_chemical_formula_sum 'Ba2 Mg6 Pb18'
_space_group_name_H-M_alt 'C 1 2/m 1'
_space_group_IT_number 12
_cell_length_a 6.2017
_cell_length_b 16.3040
_cell_length_c 8.2971
_cell_angle_alpha 90.00
_cell_angle_beta 107.65
_cell_angle_gamma 90.00
loop_
_space_group_symop_operation_xyz
'x,y,z'
'-x,-y,-z'
'-x,y,-z'
'x,-y,z'
'x+1/2,y+1/2,z'
'-x+1/2,-y+1/2,-z'
'-x+1/2,y+1/2,-z'
'x+1/2,-y+1/2,z'
loop_
_atom_site_label
_atom_site_fract_x
_atom_site_fract_y
_atom_site_fract_z
_atom_site_occupancy
Ba1 0.0000 0.0000 0.0000 1
Mg1 0.0000 0.5000 0.5000 1
Mg2 0.2500 0.2500 0.0000 1
Pb1 0.0000 0.0000 0.5000 1
Pb2 0.0940 0.3900 0.2116 1
Pb3 0.1563 0.1811 0.3417 1
```

Results
DOS(E_F): 0.37 states/eV/atom
ΔE_f: -134 meV per atom

***

Record 15
The following is a GGA-PBE calculation of a geometry-optimized Ba2MgPb structure, from Alexandria via LeMat-Bulk.

```
data_Ba2MgPb
_chemical_formula_sum 'Ba4 Mg2 Pb2'
_space_group_name_H-M_alt 'I -4 m 2'
_space_group_IT_number 119
_space_group_name_Hall 'I -4 -2'
_cell_length_a 5.3004
_cell_length_b 5.3004
_cell_length_c 11.0360
_cell_angle_alpha 90.00
_cell_angle_beta 90.00
_cell_angle_gamma 90.00
loop_
_atom_site_label
_atom_site_fract_x
_atom_site_fract_y
_atom_site_fract_z
_atom_site_occupancy
Ba1 0.0000 0.0000 0.0000 1
Ba2 0.0000 0.5000 0.2500 1
Mg1 0.0000 0.5000 0.7500 1
Pb1 0.0000 0.0000 0.5000 1
```

Results
DOS(E_F): 0.99 states/eV/atom
ΔE_f: -195 meV per atom

***

Record 16
The following is a GGA-PBE calculation of a geometry-optimized BaMg5Pb2 structure, from Alexandria via LeMat-Bulk.

```
data_BaMg5Pb2
_chemical_formula_sum 'Ba2 Mg10 Pb4'
_space_group_name_H-M_alt 'I m m m'
_space_group_IT_number 71
_space_group_name_Hall '-I 2 2'
_cell_length_a 4.7025
_cell_length_b 8.6177
_cell_length_c 11.3717
_cell_angle_alpha 90.00
_cell_angle_beta 90.00
_cell_angle_gamma 90.00
loop_
_atom_site_label
_atom_site_fract_x
_atom_site_fract_y
_atom_site_fract_z
_atom_site_occupancy
Ba1 0.0000 0.0000 0.0000 1
Mg1 0.0000 0.1801 0.3604 1
Mg2 0.0000 0.5000 0.0000 1
Pb1 0.0000 0.5000 0.2580 1
```

Results
DOS(E_F): 0.31 states/eV/atom
ΔE_f: -200 meV per atom

***

Record 17
The following is a GGA-PBE calculation of a geometry-optimized BaMgPb4 structure, from Alexandria via LeMat-Bulk.

```
data_BaMgPb4
_chemical_formula_sum 'Ba4 Mg4 Pb16'
_space_group_name_H-M_alt 'F -4 3 m'
_space_group_IT_number 216
_space_group_name_Hall 'F -4 2 3'
_cell_length_a 9.3719
_cell_length_b 9.3719
_cell_length_c 9.3719
_cell_angle_alpha 90.00
_cell_angle_beta 90.00
_cell_angle_gamma 90.00
loop_
_atom_site_label
_atom_site_fract_x
_atom_site_fract_y
_atom_site_fract_z
_atom_site_occupancy
Ba1 0.0000 0.0000 0.0000 1
Mg1 0.2500 0.2500 0.7500 1
Pb1 0.1259 0.1259 0.3741 1
```

Results
DOS(E_F): 0.65 states/eV/atom
ΔE_f: -144 meV per atom

***

Record 18
The following is a GGA-PBE calculation of a geometry-optimized BaMgPb11 structure, from Alexandria via LeMat-Bulk.

```
data_BaMgPb11
_chemical_formula_sum 'Ba2 Mg2 Pb22'
_space_group_name_H-M_alt 'C 1 2/m 1'
_space_group_IT_number 12
_cell_length_a 6.4658
_cell_length_b 16.0341
_cell_length_c 8.7060
_cell_angle_alpha 90.00
_cell_angle_beta 108.64
_cell_angle_gamma 90.00
loop_
_space_group_symop_operation_xyz
'x,y,z'
'-x,-y,-z'
'-x,y,-z'
'x,-y,z'
'x+1/2,y+1/2,z'
'-x+1/2,-y+1/2,-z'
'-x+1/2,y+1/2,-z'
'x+1/2,-y+1/2,z'
loop_
_atom_site_label
_atom_site_fract_x
_atom_site_fract_y
_atom_site_fract_z
_atom_site_occupancy
Ba1 0.0000 0.0000 0.0000 1
Mg1 0.0000 0.5000 0.5000 1
Pb1 0.0000 0.0000 0.5000 1
Pb2 0.0996 0.3940 0.2215 1
Pb3 0.1784 0.1758 0.3579 1
Pb4 0.2500 0.2500 0.0000 1
```

Results
DOS(E_F): 0.52 states/eV/atom
ΔE_f: -95 meV per atom

***

Record 19
The following is a GGA-PBE calculation of a geometry-optimized Ba2MgPb structure, from Alexandria via LeMat-Bulk.

```
data_Ba2MgPb
_chemical_formula_sum 'Ba2 Mg1 Pb1'
_space_group_name_H-M_alt 'P 4 m m'
_space_group_IT_number 99
_cell_length_a 4.0764
_cell_length_b 4.0764
_cell_length_c 10.1996
_cell_angle_alpha 90.00
_cell_angle_beta 90.00
_cell_angle_gamma 90.00
loop_
_space_group_symop_operation_xyz
'x,y,z'
'-y,x,z'
'-x,-y,z'
'y,-x,z'
'-x,y,z'
'y,x,z'
'x,-y,z'
'-y,-x,z'
loop_
_atom_site_label
_atom_site_fract_x
_atom_site_fract_y
_atom_site_fract_z
_atom_site_occupancy
Ba1 0.0000 0.0000 0.0000 1
Ba2 0.5000 0.5000 0.3784 1
Mg1 0.0000 0.0000 0.6183 1
Pb1 0.5000 0.5000 0.7648 1
```

Results
DOS(E_F): 1.29 states/eV/atom
ΔE_f: -155 meV per atom

***

Record 20
The following is a GGA-PBE calculation of a geometry-optimized Ba2Mg2Pb structure, from Alexandria via LeMat-Bulk.

```
data_Ba2Mg2Pb
_chemical_formula_sum 'Ba4 Mg4 Pb2'
_space_group_name_H-M_alt 'P 4/m b m'
_space_group_IT_number 127
_space_group_name_Hall '-P 4 2ab'
_cell_length_a 8.0905
_cell_length_b 8.0905
_cell_length_c 5.6549
_cell_angle_alpha 90.00
_cell_angle_beta 90.00
_cell_angle_gamma 90.00
loop_
_atom_site_label
_atom_site_fract_x
_atom_site_fract_y
_atom_site_fract_z
_atom_site_occupancy
Ba1 0.1844 0.3156 0.0000 1
Mg1 0.1267 0.6267 0.5000 1
Pb1 0.0000 0.0000 0.5000 1
```

Results
DOS(E_F): 0.58 states/eV/atom
ΔE_f: -181 meV per atom